## UTl2Cl4O2 (PBE-GGA)

Data for UTl2Cl4O2 after structural relaxation.

Cell and atoms, written as POSCAR:
```
UTl2Cl4O2
1.0
-2.596 4.621 -1.738
-6.134 -1.215 3.181
-0.653 3.033 6.292
U Tl Cl O
1 2 4 2
Direct
0.500 0.000 0.000
0.197 0.676 0.676
0.803 0.324 0.324
0.293 0.635 0.146
0.707 0.854 0.365
0.707 0.365 0.854
0.293 0.146 0.635
0.249 0.116 0.116
0.751 0.884 0.884
```

* formation energy (no corrections): -1794 meV per atom
* SG: No. 12
* N(E_F): 0.000 states/eV per atom